Record 1
The following is a DFT calculation (GGA-PBE) of Zr2CdAsW after structural relaxation.

The structure in CIF format:
```
data_Zr2CdAsW
_cell_length_a 5.030
_cell_length_b 5.030
_cell_length_c 5.228
_cell_angle_alpha 90.00
_cell_angle_beta 90.00
_cell_angle_gamma 90.00
_space_group_name_H-M_alt 'P 4/m m m'
_space_group_IT_number 123
_space_group_name_Hall '-P 4 2'
loop_
_atom_site_label
_atom_site_type_symbol
_atom_site_fract_x
_atom_site_fract_y
_atom_site_fract_z
Zr1 Zr 0.000 0.500 0.000
Cd1 Cd 0.000 0.000 0.500
As1 As 0.500 0.500 0.500
W1 W 0.000 0.000 0.000
```

Record 2
The following is a DFT calculation (GGA-PBE) of YCd2As after structural relaxation.

The structure in CIF format:
```
data_YCd2As
_cell_length_a 9.571
_cell_length_b 4.413
_cell_length_c 4.754
_cell_angle_alpha 90.00
_cell_angle_beta 92.11
_cell_angle_gamma 90.00
_space_group_name_H-M_alt 'C 1 m 1'
_space_group_IT_number 8
_space_group_name_Hall 'C -2y'
loop_
_atom_site_label
_atom_site_type_symbol
_atom_site_fract_x
_atom_site_fract_y
_atom_site_fract_z
Y1 Y 0.000 0.000 0.000
Cd1 Cd 0.045 0.500 0.510
Cd2 Cd 0.255 0.000 0.520
As1 As 0.201 0.500 0.024
```

| no. | E_tot (eV per cell) | ΔE_f (eV per formula unit) |
| --- | --- | --- |
| 1 | -31.05 | 4.57 |
| 2 | -29.40 | -1.75 |